Record 1
A plane-wave DFT calculation with GGA-PBE was carried out for an optimized crystal structure of Ce2SmHf. Values from VASP.

Summary:
- formation enthalpy at 0 K (eV/atom) = 0.15
- magnetization (Bohr magnetons per cell) = 0.005
- energy above the lowest structure with this stoichiometry (eV per atom) = 0.0000

```
&SYSTEM
  ibrav = 0, nat = 4, ntyp = 3
/
ATOMIC_SPECIES
Ce 140.12 Ce.upf
Sm 150.36 Sm.upf
Hf 178.49 Hf.upf
CELL_PARAMETERS angstrom
3.300 0.000 0.000
0.000 3.300 0.000
0.000 0.000 10.163
ATOMIC_POSITIONS crystal
Ce 0.000 0.000 0.232
Ce 0.000 0.000 0.768
Sm 0.500 0.500 0.500
Hf 0.500 0.500 0.000
```


Record 2
A plane-wave DFT calculation with GGA-PBE was carried out for an optimized crystal structure of La2YEr8. Values from VASP.

Summary:
- formation enthalpy at 0 K (eV/atom) = 0.16
- magnetization (Bohr magnetons per cell) = 0.000

```
&SYSTEM
  ibrav = 0, nat = 11, ntyp = 3
/
ATOMIC_SPECIES
La 138.91 La.upf
Y 88.91 Y.upf
Er 167.26 Er.upf
CELL_PARAMETERS angstrom
4.534 -8.007 0.000
4.534 8.007 0.000
-3.213 0.000 4.945
ATOMIC_POSITIONS crystal
La 0.194 0.806 0.000
La 0.806 0.194 0.000
Y 0.500 0.500 0.500
Er 0.070 0.070 0.298
Er 0.172 0.402 0.826
Er 0.292 0.708 0.500
Er 0.402 0.172 0.826
Er 0.598 0.828 0.174
Er 0.708 0.292 0.500
Er 0.828 0.598 0.174
Er 0.930 0.930 0.702
```


Record 3
A plane-wave DFT calculation with GGA-PBE was carried out for an optimized crystal structure of Ho2ErS4. Values from VASP.

Summary:
- magnetization (Bohr magnetons per cell) = 0.000
- energy relative to the elements, uncorrected (kJ/mol of atoms) = -197
- energy above the lowest structure with this stoichiometry (eV per atom) = 0.0300

```
&SYSTEM
  ibrav = 0, nat = 14, ntyp = 3
/
ATOMIC_SPECIES
Ho 164.93 Ho.upf
Er 167.26 Er.upf
S 32.06 S.upf
CELL_PARAMETERS angstrom
1.887 -6.423 0.000
1.887 6.423 0.000
0.000 0.000 13.053
ATOMIC_POSITIONS crystal
Ho 0.129 0.871 0.570
Ho 0.129 0.871 0.930
Ho 0.871 0.129 0.070
Ho 0.871 0.129 0.430
Er 0.373 0.627 0.750
Er 0.627 0.373 0.250
S 0.026 0.974 0.750
S 0.223 0.777 0.123
S 0.223 0.777 0.377
S 0.500 0.500 0.000
S 0.500 0.500 0.500
S 0.777 0.223 0.623
S 0.777 0.223 0.877
S 0.974 0.026 0.250
```


Record 4
A plane-wave DFT calculation with GGA-PBE was carried out for an optimized crystal structure of Ba2CeTe4. Values from VASP.

Summary:
- magnetization (Bohr magnetons per cell) = 0.118
- energy relative to the elements, uncorrected (kJ/mol of atoms) = -143
- energy above the lowest structure with this stoichiometry (eV per atom) = 0.0335

```
&SYSTEM
  ibrav = 0, nat = 7, ntyp = 3
/
ATOMIC_SPECIES
Ba 137.33 Ba.upf
Ce 140.12 Ce.upf
Te 127.60 Te.upf
CELL_PARAMETERS angstrom
6.967 -2.340 0.000
6.967 2.340 0.000
-4.026 0.000 8.468
ATOMIC_POSITIONS crystal
Ba 0.153 0.153 0.180
Ba 0.847 0.847 0.820
Ce 0.500 0.500 0.500
Te 0.159 0.159 0.566
Te 0.434 0.434 0.143
Te 0.566 0.566 0.857
Te 0.841 0.841 0.434
```


Record 5
A plane-wave DFT calculation with GGA-PBE was carried out for an optimized crystal structure of Sb2PdS3. Values from VASP.

Summary:
- magnetization (Bohr magnetons per cell) = 0.000
- energy relative to the elements, uncorrected (kJ/mol of atoms) = -8

```
&SYSTEM
  ibrav = 0, nat = 6, ntyp = 3
/
ATOMIC_SPECIES
Sb 121.76 Sb.upf
Pd 106.42 Pd.upf
S 32.06 S.upf
CELL_PARAMETERS angstrom
-2.711 5.855 2.245
2.711 -5.855 2.245
2.711 5.855 -2.245
ATOMIC_POSITIONS crystal
Sb 0.156 0.000 0.156
Sb 0.844 0.000 0.844
Pd 0.275 0.775 0.500
S 0.282 0.596 0.686
S 0.602 0.602 0.000
S 0.910 0.596 0.314
```


Record 6
A plane-wave DFT calculation with GGA-PBE was carried out for an optimized crystal structure of Pr3Dy3Th. Values from VASP.

Summary:
- formation enthalpy at 0 K (eV/atom) = 0.13
- magnetization (Bohr magnetons per cell) = 0.000

```
&SYSTEM
  ibrav = 0, nat = 14, ntyp = 3
/
ATOMIC_SPECIES
Pr 140.91 Pr.upf
Dy 162.50 Dy.upf
Th 232.04 Th.upf
CELL_PARAMETERS angstrom
11.427 0.000 0.000
0.000 3.602 0.000
-0.500 0.000 11.784
ATOMIC_POSITIONS crystal
Pr 0.025 0.250 0.364
Pr 0.051 0.250 0.889
Pr 0.443 0.250 0.884
Pr 0.557 0.750 0.116
Pr 0.949 0.750 0.111
Pr 0.975 0.750 0.636
Dy 0.237 0.250 0.667
Dy 0.260 0.250 0.152
Dy 0.272 0.750 0.418
Dy 0.728 0.250 0.582
Dy 0.740 0.750 0.848
Dy 0.763 0.750 0.333
Th 0.488 0.750 0.629
Th 0.512 0.250 0.371
```


Record 7
A plane-wave DFT calculation with GGA-PBE was carried out for an optimized crystal structure of MgCd3Re. Values from VASP.

Summary:
- formation enthalpy at 0 K (eV/atom) = 0.99
- magnetization (Bohr magnetons per cell) = 1.157
- energy above the lowest structure with this stoichiometry (eV per atom) = 0.0000

```
&SYSTEM
  ibrav = 0, nat = 5, ntyp = 3
/
ATOMIC_SPECIES
Mg 24.30 Mg.upf
Cd 112.41 Cd.upf
Re 186.21 Re.upf
CELL_PARAMETERS angstrom
5.251 0.000 0.000
0.000 5.251 0.000
0.000 0.000 5.251
ATOMIC_POSITIONS crystal
Mg 0.000 0.000 0.000
Cd 0.000 0.500 0.500
Cd 0.500 0.000 0.500
Cd 0.500 0.500 0.000
Re 0.500 0.500 0.500
```


Record 8
A plane-wave DFT calculation with GGA-PBE was carried out for an optimized crystal structure of Rb2ScNiSb. Values from VASP.

Summary:
- magnetization (Bohr magnetons per cell) = 0.000
- energy relative to the elements, uncorrected (kJ/mol of atoms) = 68

```
&SYSTEM
  ibrav = 0, nat = 5, ntyp = 4
/
ATOMIC_SPECIES
Rb 85.47 Rb.upf
Sc 44.96 Sc.upf
Ni 58.69 Ni.upf
Sb 121.76 Sb.upf
CELL_PARAMETERS angstrom
6.889 0.000 0.000
0.000 6.889 0.000
0.000 0.000 4.364
ATOMIC_POSITIONS crystal
Rb 0.000 0.500 0.000
Rb 0.500 0.000 0.000
Sc 0.000 0.000 0.000
Ni 0.000 0.000 0.500
Sb 0.500 0.500 0.500
```


Record 9
A plane-wave DFT calculation with GGA-PBE was carried out for an optimized crystal structure of Cs2PmAs2O6. Values from VASP.

Summary:
- magnetization (Bohr magnetons per cell) = 0.755
- energy relative to the elements, uncorrected (kJ/mol of atoms) = -183

```
&SYSTEM
  ibrav = 0, nat = 11, ntyp = 4
/
ATOMIC_SPECIES
Cs 132.91 Cs.upf
Pm 145.00 Pm.upf
As 74.92 As.upf
O 16.00 O.upf
CELL_PARAMETERS angstrom
5.374 -3.108 0.000
5.374 3.108 0.000
-3.413 0.000 6.919
ATOMIC_POSITIONS crystal
Cs 0.227 0.227 0.198
Cs 0.773 0.773 0.802
Pm 0.000 0.000 0.500
As 0.427 0.427 0.778
As 0.573 0.573 0.222
O 0.244 0.244 0.641
O 0.264 0.720 0.708
O 0.280 0.736 0.292
O 0.720 0.264 0.708
O 0.736 0.280 0.292
O 0.756 0.756 0.359
```


Record 10
A plane-wave DFT calculation with GGA-PBE was carried out for an optimized crystal structure of Pt3IBr. Values from VASP.

Summary:
- magnetization (Bohr magnetons per cell) = 0.000
- energy relative to the elements, uncorrected (kJ/mol of atoms) = 117
- energy above the lowest structure with this stoichiometry (eV per atom) = 0.0201

```
&SYSTEM
  ibrav = 0, nat = 5, ntyp = 3
/
ATOMIC_SPECIES
Pt 195.08 Pt.upf
I 126.90 I.upf
Br 79.90 Br.upf
CELL_PARAMETERS angstrom
5.060 0.000 0.000
0.000 5.060 0.000
0.000 0.000 5.060
ATOMIC_POSITIONS crystal
Pt 0.000 0.000 0.500
Pt 0.000 0.500 0.000
Pt 0.500 0.000 0.000
I 0.000 0.000 0.000
Br 0.500 0.500 0.500
```


Record 11
A plane-wave DFT calculation with GGA-PBE was carried out for an optimized crystal structure of Rb2AcI6. Values from VASP.

Summary:
- magnetization (Bohr magnetons per cell) = 0.000
- energy relative to the elements, uncorrected (kJ/mol of atoms) = -124
- energy above the lowest structure with this stoichiometry (eV per atom) = 0.0101

```
&SYSTEM
  ibrav = 0, nat = 9, ntyp = 3
/
ATOMIC_SPECIES
Rb 85.47 Rb.upf
Ac 227.00 Ac.upf
I 126.90 I.upf
CELL_PARAMETERS angstrom
8.816 -4.519 0.000
8.816 4.519 0.000
-1.299 0.000 5.688
ATOMIC_POSITIONS crystal
Rb 0.167 0.167 0.152
Rb 0.833 0.833 0.848
Ac 0.500 0.500 0.500
I 0.115 0.578 0.359
I 0.286 0.714 0.000
I 0.422 0.885 0.641
I 0.578 0.115 0.359
I 0.714 0.286 0.000
I 0.885 0.422 0.641
```


Record 12
A plane-wave DFT calculation with GGA-PBE was carried out for an optimized crystal structure of Nd2DyTmS6. Values from VASP.

Summary:
- magnetization (Bohr magnetons per cell) = 0.000
- energy relative to the elements, uncorrected (kJ/mol of atoms) = -197

```
&SYSTEM
  ibrav = 0, nat = 10, ntyp = 4
/
ATOMIC_SPECIES
Nd 144.24 Nd.upf
Dy 162.50 Dy.upf
Tm 168.93 Tm.upf
S 32.06 S.upf
CELL_PARAMETERS angstrom
3.517 2.031 6.179
-3.517 2.031 6.179
0.000 -4.061 6.179
ATOMIC_POSITIONS crystal
Nd 0.000 0.000 0.000
Nd 0.499 0.499 0.499
Dy 0.206 0.206 0.206
Tm 0.705 0.705 0.705
S 0.083 0.419 0.822
S 0.324 0.915 0.587
S 0.419 0.822 0.083
S 0.587 0.324 0.915
S 0.822 0.083 0.419
S 0.915 0.587 0.324
```


Record 13
A plane-wave DFT calculation with GGA-PBE was carried out for an optimized crystal structure of CaLaTlV2. Values from VASP.

Summary:
- formation enthalpy at 0 K (eV/atom) = 1.74
- magnetization (Bohr magnetons per cell) = 0.063

```
&SYSTEM
  ibrav = 0, nat = 5, ntyp = 4
/
ATOMIC_SPECIES
Ca 40.08 Ca.upf
La 138.91 La.upf
Tl 204.38 Tl.upf
V 50.94 V.upf
CELL_PARAMETERS angstrom
4.838 0.000 0.000
0.000 4.838 0.000
0.000 0.000 5.523
ATOMIC_POSITIONS crystal
Ca 0.000 0.000 0.000
La 0.000 0.000 0.500
Tl 0.500 0.500 0.500
V 0.000 0.500 0.000
V 0.500 0.000 0.000
```


Record 14
A plane-wave DFT calculation with GGA-PBE was carried out for an optimized crystal structure of Tb4HgIr2. Values from VASP.

Summary:
- formation enthalpy at 0 K (eV/atom) = -0.62
- magnetization (Bohr magnetons per cell) = 0.000

```
&SYSTEM
  ibrav = 0, nat = 14, ntyp = 3
/
ATOMIC_SPECIES
Tb 158.93 Tb.upf
Hg 200.59 Hg.upf
Ir 192.22 Ir.upf
CELL_PARAMETERS angstrom
4.396 -6.845 0.000
4.396 6.845 0.000
-4.392 0.000 5.782
ATOMIC_POSITIONS crystal
Tb 0.017 0.983 0.500
Tb 0.100 0.445 0.853
Tb 0.358 0.900 0.760
Tb 0.445 0.100 0.353
Tb 0.470 0.632 0.408
Tb 0.632 0.470 0.908
Tb 0.900 0.358 0.260
Tb 0.983 0.017 0.000
Hg 0.592 0.840 0.123
Hg 0.840 0.592 0.623
Ir 0.110 0.717 0.250
Ir 0.245 0.351 0.515
Ir 0.351 0.245 0.015
Ir 0.717 0.110 0.750
```


Record 15
A plane-wave DFT calculation with GGA-PBE was carried out for an optimized crystal structure of CaNdIn2. Values from VASP.

Summary:
- formation enthalpy at 0 K (eV/atom) = -0.48
- magnetization (Bohr magnetons per cell) = 0.000

```
&SYSTEM
  ibrav = 0, nat = 4, ntyp = 3
/
ATOMIC_SPECIES
Ca 40.08 Ca.upf
Nd 144.24 Nd.upf
In 114.82 In.upf
CELL_PARAMETERS angstrom
5.052 0.000 0.000
0.000 5.052 0.000
0.000 0.000 4.486
ATOMIC_POSITIONS crystal
Ca 0.000 0.000 0.000
Nd 0.500 0.500 0.000
In 0.000 0.500 0.500
In 0.500 0.000 0.500
```


Record 16
A plane-wave DFT calculation with GGA-PBE was carried out for an optimized crystal structure of ZrSc3Ru. Values from VASP.

Summary:
- formation enthalpy at 0 K (eV/atom) = 1.21
- magnetization (Bohr magnetons per cell) = 0.836
- energy above the lowest structure with this stoichiometry (eV per atom) = 1.4911

```
&SYSTEM
  ibrav = 0, nat = 5, ntyp = 3
/
ATOMIC_SPECIES
Zr 91.22 Zr.upf
Sc 44.96 Sc.upf
Ru 101.07 Ru.upf
CELL_PARAMETERS angstrom
4.907 0.000 0.000
0.000 4.907 0.000
0.000 0.000 4.907
ATOMIC_POSITIONS crystal
Zr 0.000 0.000 0.000
Sc 0.000 0.000 0.500
Sc 0.000 0.500 0.000
Sc 0.500 0.000 0.000
Ru 0.500 0.500 0.500
```


Record 17
A plane-wave DFT calculation with GGA-PBE was carried out for an optimized crystal structure of Sm2Ho8Mg. Values from VASP.

Summary:
- formation enthalpy at 0 K (eV/atom) = 0.15
- magnetization (Bohr magnetons per cell) = 0.000
- energy above the lowest structure with this stoichiometry (eV per atom) = 0.0374

```
&SYSTEM
  ibrav = 0, nat = 11, ntyp = 3
/
ATOMIC_SPECIES
Sm 150.36 Sm.upf
Ho 164.93 Ho.upf
Mg 24.30 Mg.upf
CELL_PARAMETERS angstrom
8.105 -3.291 0.000
8.105 3.291 0.000
-1.353 0.000 6.508
ATOMIC_POSITIONS crystal
Sm 0.186 0.186 0.294
Sm 0.814 0.814 0.706
Ho 0.179 0.659 0.113
Ho 0.245 0.245 0.814
Ho 0.341 0.821 0.887
Ho 0.406 0.406 0.584
Ho 0.594 0.594 0.416
Ho 0.659 0.179 0.113
Ho 0.755 0.755 0.186
Ho 0.821 0.341 0.887
Mg 0.000 0.000 0.500
```


Record 18
A plane-wave DFT calculation with GGA-PBE was carried out for an optimized crystal structure of LaZnSnPd3. Values from VASP.

Summary:
- formation enthalpy at 0 K (eV/atom) = -0.59
- magnetization (Bohr magnetons per cell) = 0.000

```
&SYSTEM
  ibrav = 0, nat = 12, ntyp = 4
/
ATOMIC_SPECIES
La 138.91 La.upf
Zn 65.41 Zn.upf
Sn 118.71 Sn.upf
Pd 106.42 Pd.upf
CELL_PARAMETERS angstrom
2.900 -6.128 0.000
2.900 6.128 0.000
0.000 0.000 7.155
ATOMIC_POSITIONS crystal
La 0.177 0.823 0.750
La 0.823 0.177 0.250
Zn 0.431 0.569 0.750
Zn 0.569 0.431 0.250
Sn 0.130 0.870 0.250
Sn 0.870 0.130 0.750
Pd 0.241 0.241 0.000
Pd 0.241 0.241 0.500
Pd 0.347 0.653 0.250
Pd 0.653 0.347 0.750
Pd 0.759 0.759 0.000
Pd 0.759 0.759 0.500
```


Record 19
A plane-wave DFT calculation with GGA-PBE was carried out for an optimized crystal structure of CdSn2Pd2. Values from VASP.

Summary:
- formation enthalpy at 0 K (eV/atom) = -0.42
- magnetization (Bohr magnetons per cell) = 0.000
- energy above the lowest structure with this stoichiometry (eV per atom) = 0.0000

```
&SYSTEM
  ibrav = 0, nat = 10, ntyp = 3
/
ATOMIC_SPECIES
Cd 112.41 Cd.upf
Sn 118.71 Sn.upf
Pd 106.42 Pd.upf
CELL_PARAMETERS angstrom
4.541 0.000 0.000
0.000 4.674 0.000
-0.008 0.000 9.801
ATOMIC_POSITIONS crystal
Cd 0.250 0.250 0.177
Cd 0.750 0.750 0.823
Sn 0.250 0.250 0.494
Sn 0.250 0.250 0.831
Sn 0.750 0.750 0.169
Sn 0.750 0.750 0.506
Pd 0.250 0.750 0.005
Pd 0.250 0.750 0.339
Pd 0.750 0.250 0.661
Pd 0.750 0.250 0.995
```


Record 20
A plane-wave DFT calculation with GGA-PBE was carried out for an optimized crystal structure of YInF2. Values from VASP.

Summary:
- magnetization (Bohr magnetons per cell) = 0.744
- energy relative to the elements, uncorrected (kJ/mol of atoms) = -162
- energy above the lowest structure with this stoichiometry (eV per atom) = 0.6303

```
&SYSTEM
  ibrav = 0, nat = 4, ntyp = 3
/
ATOMIC_SPECIES
Y 88.91 Y.upf
In 114.82 In.upf
F 19.00 F.upf
CELL_PARAMETERS angstrom
0.000 3.286 3.286
3.286 0.000 3.286
3.286 3.286 0.000
ATOMIC_POSITIONS crystal
Y 0.000 0.000 0.000
In 0.500 0.500 0.500
F 0.250 0.250 0.250
F 0.750 0.750 0.750
```